# Pr2TePb

Crystalline Pr2TePb at its relaxed geometry (PBE, the Alexandria database).

Structure (extended XYZ):
```
4
Lattice="3.801 0.000 0.000 0.000 3.801 0.000 0.000 0.000 8.485" Properties=species:S:1:pos:R:3 pbc="T T T"
Pb 1.901 1.901 4.242
Te 1.901 1.901 0.000
Pr 0.000 0.000 2.019
Pr 0.000 0.000 6.466
```

Properties
- Uncorrected formation energy: -0.905 eV per atom
- Crystal system: tetragonal
- Offset from the most stable computed form: 156 meV/atom
- SG: No. 123